Record 1
YHfP2Ru PBE optimized geometry; space-group type = P4/mmm; energy relative to the elements = 177 kJ/mol of formula units; DOS at the Fermi energy = 6.4 states/eV/cell; E = -6.94 eV per atom
1.0
-3.3974 -1.1450 -2.8845
3.2771 0.1188 -3.9069
0.9442 -4.4555 0.6565
P Hf Ru Y
2 1 1 1
direct
0.0000 0.0000 0.5000
0.5000 0.0000 0.0000
0.5000 0.5000 0.5000
0.0000 0.0000 0.0000
0.0000 0.5000 0.0000

Record 2
Sm3SnIr8 PBE optimized geometry; space-group type = R3m; energy relative to the elements = -628 kJ/mol of formula units; DOS at the Fermi energy = 15.8 states/eV/cell; E = -7.96 eV per atom
1.0
-3.7543 3.6417 1.3151
-3.4519 1.7852 -3.7394
-7.9774 -4.6787 1.2413
Ir Sm Sn
8 3 1
direct
0.4374 0.9386 0.1865
0.9386 0.4374 0.1865
0.1881 0.1881 0.4356
0.9373 0.4387 0.6867
0.6879 0.6879 0.9364
0.9373 0.9373 0.6867
0.4374 0.4374 0.1865
0.4387 0.9373 0.6867
0.9961 0.9961 0.0118
0.3756 0.3756 0.8732
0.5031 0.5031 0.4908
0.8725 0.8725 0.3825

Record 3
Th2AsC PBE optimized geometry; space-group type = Pmmn; energy relative to the elements = -310 kJ/mol of formula units; DOS at the Fermi energy = 2.4 states/eV/cell; E = -7.98 eV per atom
1.0
3.9011 0.0000 0.0000
0.0000 5.7834 0.0000
0.0000 0.0000 8.2426
As Th C
2 4 2
direct
0.5000 0.0000 0.1211
0.0000 0.5000 0.8789
0.0000 0.0000 0.4029
0.5000 0.5000 0.5971
0.5000 0.5000 0.1629
0.0000 0.0000 0.8371
0.5000 0.0000 0.6200
0.0000 0.5000 0.3800

Record 4
ZrNb2VSe PBE optimized geometry; space-group type = P4/mmm; DOS at the Fermi energy = 7.8 states/eV/cell; E = -7.54 eV per atom
1.0
4.7174 0.0000 0.0000
0.0000 4.9261 0.0000
0.0000 0.0000 4.7174
Nb Se V Zr
2 1 1 1
direct
0.5000 0.0000 0.0000
0.0000 0.0000 0.5000
0.0000 0.0000 0.0000
0.5000 0.5000 0.5000
0.0000 0.5000 0.0000

Record 5
SrNiSb2 PBE optimized geometry; space-group type = Cmmm; DOS at the Fermi energy = 1.1 states/eV/cell; E = -4.41 eV per atom
1.0
4.0924 0.0000 0.0000
0.0000 5.2028 -0.0294
0.0000 1.6499 4.9277
Sb Sr Ni
2 1 1
direct
0.0000 0.9315 0.9325
0.0000 0.5685 0.5675
0.5000 0.2500 0.2500
0.5000 0.7500 0.7500

Record 6
ThIn2Ga PBE optimized geometry; distance to the lowest polymorph of the same formula = 551 meV per atom; space-group type = R-3m; energy relative to the elements = 69 kJ/mol of formula units; DOS at the Fermi energy = 2.9 states/eV/cell; E = -3.80 eV per atom
1.0
-2.3103 -1.6573 -1.8745
-1.9783 -2.3691 1.4393
-8.9305 6.3865 2.2667
Th Ga In
1 1 2
direct
0.0000 0.0000 0.0000
0.5000 0.5000 0.5000
0.9014 0.9014 0.2957
0.0986 0.0986 0.7043

Record 7
AcNdCd4 PBE optimized geometry; distance to the lowest polymorph of the same formula = 0 meV per atom; space-group type = Immm; energy relative to the elements = -191 kJ/mol of formula units; DOS at the Fermi energy = 4.4 states/eV/cell; E = -2.42 eV per atom
1.0
4.6397 0.0000 2.2299
1.9493 5.6887 1.8860
-0.1686 0.3133 6.2926
Ac Cd Nd
1 4 1
direct
0.0000 0.0000 0.5000
0.6666 0.5751 0.5916
0.3333 0.9084 0.9250
0.3334 0.4249 0.4084
0.6667 0.0916 0.0750
0.0000 0.5000 0.0000

Record 8
BaCa2MgZn PBE optimized geometry; distance to the lowest polymorph of the same formula = 114 meV per atom; space-group type = P4/mmm; energy relative to the elements = 48 kJ/mol of formula units; DOS at the Fermi energy = 6.1 states/eV/cell; E = -1.66 eV per atom
1.0
-4.5109 2.0998 3.0775
2.4639 -1.9436 4.9376
2.9325 5.3551 0.6446
Zn Ca Mg Ba
1 2 1 1
direct
0.0000 0.0000 0.0000
0.5000 0.0000 0.0000
0.0000 0.5000 0.0000
0.5000 0.5000 0.5000
0.0000 0.0000 0.5000